The following is a PBE calculation of a relaxed ErCu2 crystal, from OQMD.

abc: 5.390 5.390 5.390
angles: 133.31 102.85 95.26
Positions (direct):
Cu 0.215 0.165 0.050
Cu 0.615 0.165 0.450
Cu 0.385 0.835 0.550
Cu 0.785 0.835 0.950
Er 0.791 0.541 0.250
Er 0.209 0.459 0.750

Calculated values
For the raw total energy, the calculation gives -4.28 eV per atom. As for the energy relative to the elements: -82 kJ/mol of formula units. The symmetry is No. 74.